The following is a GGA-PBE calculation of crystalline YHo4Er8 at its relaxed geometry, from Alexandria via LeMat-Bulk.

Lattice parameters (Å, degrees): 9.9038 9.9038 9.9038 42.78 42.78 42.78
Atoms (fractional coordinates):
1 Y 0.0000 0.0000 0.0000
2 Ho 0.0000 0.0000 0.5000
3 Ho 0.0000 0.5000 0.0000
4 Ho 0.5000 0.0000 0.0000
5 Ho 0.5000 0.5000 0.5000
6 Er 0.2509 0.2509 0.6950
7 Er 0.2509 0.6950 0.2509
8 Er 0.2835 0.2835 0.2835
9 Er 0.3050 0.7491 0.7491
10 Er 0.6950 0.2509 0.2509
11 Er 0.7165 0.7165 0.7165
12 Er 0.7491 0.3050 0.7491
13 Er 0.7491 0.7491 0.3050

Computed properties:
**Formation enthalpy at 0 K**: 0.232 eV/atom
**SG**: No. 166

---

The following is a GGA-PBE calculation of crystalline Ac4Ga5Cu3 at its relaxed geometry, from Alexandria via LeMat-Bulk.

Lattice parameters (Å, degrees): 8.0269 8.0269 10.0491 114.76 114.76 33.07
Atoms (fractional coordinates):
1 Ac 0.0429 0.0429 0.3218
2 Ac 0.2588 0.2588 0.7991
3 Ac 0.7412 0.7412 0.2009
4 Ac 0.9571 0.9571 0.6782
5 Ga 0.2804 0.2804 0.4757
6 Ga 0.4137 0.4137 0.3969
7 Ga 0.5000 0.5000 0.0000
8 Ga 0.5863 0.5863 0.6031
9 Ga 0.7196 0.7196 0.5243
10 Cu 0.0000 0.0000 0.0000
11 Cu 0.3963 0.3963 0.1384
12 Cu 0.6037 0.6037 0.8616

Computed properties:
**Formation enthalpy at 0 K**: -0.319 eV/atom
**SG**: No. 12

---

The following is a GGA-PBE calculation of crystalline SbAsRh3 at its relaxed geometry, from Alexandria via LeMat-Bulk.

Lattice parameters (Å, degrees): 4.5973 4.5973 4.5973 90.00 90.00 90.00
Atoms (fractional coordinates):
1 Sb 0.0000 0.0000 0.0000
2 As 0.5000 0.5000 0.5000
3 Rh 0.0000 0.5000 0.5000
4 Rh 0.5000 0.0000 0.5000
5 Rh 0.5000 0.5000 0.0000

Computed properties:
**SG**: No. 221
**Uncorrected formation energy**: 1.385 eV per formula unit
**Offset from the most stable computed form**: 0.506 eV per atom